1.
PBE-GGA Tb3Pr4Mg, relaxed; density of states at the Fermi level = 1.34 states/eV/atom; mass density = 6.66 g cm⁻³; energy of formation from the pure elements = -9 meV/atom
1.0
3.674 0.000 0.000
0.000 3.674 0.000
0.000 0.000 19.673
Tb Pr Mg
3 4 1
direct
0.000 0.000 0.000
0.000 0.000 0.259
0.000 0.000 0.741
0.500 0.500 0.129
0.500 0.500 0.387
0.500 0.500 0.613
0.500 0.500 0.871
0.000 0.000 0.500

=====

2.
PBE-GGA Mo3PdRu, relaxed; density of states at the Fermi level = 1.09 states/eV/atom; mass density = 8.22 g cm⁻³; energy of formation from the pure elements = 1555 meV/atom
1.0
4.643 0.000 0.000
0.000 4.643 0.000
0.000 0.000 4.643
Mo Pd Ru
3 1 1
direct
0.000 0.000 0.500
0.000 0.500 0.000
0.500 0.000 0.000
0.500 0.500 0.500
0.000 0.000 0.000

=====

3.
PBE-GGA NdSm4In, relaxed; density of states at the Fermi level = 1.30 states/eV/atom; mass density = 7.36 g cm⁻³; energy of formation from the pure elements = -143 meV/atom
1.0
3.647 0.000 0.000
0.000 3.647 0.000
0.000 0.000 14.597
Nd Sm In
1 4 1
direct
0.000 0.000 0.000
0.000 0.000 0.355
0.000 0.000 0.645
0.500 0.500 0.178
0.500 0.500 0.822
0.500 0.500 0.500

=====

4.
PBE-GGA RbNa15Cd4, relaxed; density of states at the Fermi level = 0.34 states/eV/atom; mass density = 2.19 g cm⁻³; energy of formation from the pure elements = -10 meV/atom
1.0
5.133 0.000 0.000
0.000 5.133 0.000
0.000 0.000 25.281
Rb Na Cd
1 15 4
direct
0.000 0.000 0.000
0.000 0.500 0.128
0.000 0.500 0.313
0.000 0.500 0.500
0.000 0.500 0.687
0.000 0.500 0.872
0.500 0.000 0.128
0.500 0.000 0.313
0.500 0.000 0.500
0.500 0.000 0.687
0.500 0.000 0.872
0.500 0.500 0.000
0.500 0.500 0.220
0.500 0.500 0.407
0.500 0.500 0.593
0.500 0.500 0.780
0.000 0.000 0.220
0.000 0.000 0.406
0.000 0.000 0.594
0.000 0.000 0.780

=====

5.
PBE-GGA MnCo3Ni3, relaxed; density of states at the Fermi level = 1.05 states/eV/atom; mass density = 8.04 g cm⁻³; energy of formation from the pure elements = 209 meV/atom
1.0
2.961 1.709 5.546
-2.961 1.709 5.546
0.000 -3.419 5.546
Mn Co Ni
2 6 6
direct
0.162 0.162 0.162
0.838 0.838 0.838
0.076 0.569 0.243
0.243 0.076 0.569
0.431 0.757 0.924
0.569 0.243 0.076
0.757 0.924 0.431
0.924 0.431 0.757
0.217 0.690 0.413
0.310 0.587 0.783
0.413 0.217 0.690
0.587 0.783 0.310
0.690 0.413 0.217
0.783 0.310 0.587

=====

6.
PBE-GGA Y8GaTe4P3, relaxed; energy = -106.260 eV per cell; density of states at the Fermi level = 0.32 states/eV/atom; mass density = 5.42 g cm⁻³
1.0
4.164 2.404 7.057
-4.164 2.404 7.057
0.000 -4.808 7.057
Y Ga Te P
8 1 4 3
direct
0.237 0.237 0.237
0.237 0.740 0.740
0.260 0.260 0.763
0.260 0.763 0.260
0.740 0.237 0.740
0.740 0.740 0.237
0.763 0.260 0.260
0.763 0.763 0.763
0.500 0.500 0.500
0.000 0.000 0.000
0.000 0.500 0.500
0.500 0.000 0.500
0.500 0.500 0.000
0.000 0.000 0.500
0.000 0.500 0.000
0.500 0.000 0.000

=====

7.
PBE-GGA PmSm4Y, relaxed; density of states at the Fermi level = 1.39 states/eV/atom; mass density = 6.87 g cm⁻³; energy of formation from the pure elements = 14 meV/atom
1.0
9.421 -1.811 0.000
9.421 1.811 0.000
-2.081 0.000 5.915
Pm Sm Y
1 4 1
direct
0.000 0.000 0.000
0.166 0.166 0.834
0.333 0.333 0.666
0.667 0.667 0.334
0.834 0.834 0.166
0.500 0.500 0.500

=====

8.
PBE-GGA Ac2TbPr, relaxed; density of states at the Fermi level = 1.28 states/eV/atom; mass density = 8.01 g cm⁻³; energy of formation from the pure elements = 35 meV/atom
1.0
1.924 1.111 12.184
-1.924 1.111 12.184
0.000 -2.221 12.184
Ac Tb Pr
2 1 1
direct
0.248 0.248 0.248
0.752 0.752 0.752
0.500 0.500 0.500
0.000 0.000 0.000